DFT (SCAN) results for a PBEsol-optimized structure of SrInO2.

extended XYZ file:
```
12
Lattice="3.748 0.000 0.000 -1.874 3.246 0.000 0.000 0.000 19.586" Properties=species:S:1:pos:R:3 pbc="T T T"
Sr 0.000 0.000 0.000
Sr 0.000 2.164 13.057
Sr 1.874 1.082 6.529
In 0.000 0.000 9.793
In 0.000 2.164 3.264
In 1.874 1.082 16.322
O 0.000 0.000 7.787
O 0.000 0.000 11.800
O 0.000 2.164 1.258
O 0.000 2.164 5.271
O 1.874 1.082 14.315
O 1.874 1.082 18.328
```

Computed properties:
- DFT total energy: -75.7 eV/f.u.
- Formation energy without anion corrections: -1891 meV/atom